Record 1
MgAlSe2 PBE-GGA optimized geometry; Fermi-level density of states = 0.49 states/eV/cell; SG = P4mm (99)
1.0
3.8654 0.0000 0.0000
0.0000 3.8654 0.0000
0.0000 0.0000 5.5801
Mg Al Se
1 1 2
Direct
0.0000 0.0000 0.0000 Mg
0.5000 0.5000 0.5136 Al
0.0000 0.0000 0.4961 Se
0.5000 0.5000 0.9934 Se

Record 2
MgAlSe2 PBE-GGA optimized geometry; Fermi-level density of states = 0.53 states/eV/cell; SG = P2/m (10)
1.0
3.8232 0.0000 0.0000
0.0000 3.5457 0.0000
-0.6856 0.0000 6.5311
Mg Al Se
1 1 2
Direct
0.0000 0.0000 0.0000 Mg
0.0000 0.0000 0.5000 Al
0.2761 0.5000 0.7481 Se
0.7239 0.5000 0.2519 Se

Record 3
MgAlSe2 PBE-GGA optimized geometry; Fermi-level density of states = 0.96 states/eV/cell; SG = P3m1 (156)
1.0
4.4229 0.0000 0.0000
-2.2114 3.8303 0.0000
0.0000 0.0000 6.2520
Mg Al Se
1 1 2
Direct
0.0000 0.0000 0.0000 Mg
0.3333 0.6667 0.4903 Al
0.0000 0.0000 0.4208 Se
0.3333 0.6667 0.8967 Se

Record 4
MgAlSe2 PBE-GGA optimized geometry; Fermi-level density of states = 8.05 states/eV/cell; SG = F-43m (216)
1.0
6.9389 0.0000 0.0000
0.0000 6.9389 0.0000
0.0000 0.0000 6.9389
Mg Al Se
4 4 8
Direct
0.0000 0.0000 0.0000 Mg
0.0000 0.5000 0.5000 Mg
0.5000 0.0000 0.5000 Mg
0.5000 0.5000 0.0000 Mg
0.2500 0.2500 0.2500 Al
0.2500 0.7500 0.7500 Al
0.7500 0.2500 0.7500 Al
0.7500 0.7500 0.2500 Al
0.0000 0.0000 0.5000 Se
0.0000 0.5000 0.0000 Se
0.2500 0.2500 0.7500 Se
0.2500 0.7500 0.2500 Se
0.5000 0.0000 0.0000 Se
0.5000 0.5000 0.5000 Se
0.7500 0.2500 0.2500 Se
0.7500 0.7500 0.7500 Se

Record 5
MgAlSe2 PBE-GGA optimized geometry; Fermi-level density of states = 2.15 states/eV/cell; SG = Imm2 (44)
1.0
3.5738 0.0000 0.0000
0.0000 3.6250 0.0000
0.0000 0.0000 12.9567
Mg Al Se
2 2 4
Direct
0.0000 0.0000 0.0000 Mg
0.5000 0.5000 0.5000 Mg
0.0000 0.5000 0.2505 Al
0.5000 0.0000 0.7505 Al
0.0000 0.0000 0.5854 Se
0.0000 0.5000 0.8284 Se
0.5000 0.0000 0.3284 Se
0.5000 0.5000 0.0854 Se

Record 6
MgAlSe2 PBE-GGA optimized geometry; Fermi-level density of states = 0.79 states/eV/cell; SG = Pmmm (47)
1.0
3.6639 0.0000 0.0000
0.0000 3.7183 0.0000
0.0000 0.0000 7.4492
Mg Al Se
1 1 2
Direct
0.0000 0.0000 0.0000 Mg
0.0000 0.5000 0.5000 Al
0.5000 0.0000 0.5000 Se
0.5000 0.5000 0.0000 Se

Record 7
Mg3AlSe PBE-GGA optimized geometry; Fermi-level density of states = 2.45 states/eV/cell; SG = Pm-3m (221)
1.0
5.0344 0.0000 0.0000
0.0000 5.0344 0.0000
0.0000 0.0000 5.0344
Mg Al Se
3 1 1
Direct
0.0000 0.0000 0.5000 Mg
0.0000 0.5000 0.0000 Mg
0.5000 0.0000 0.0000 Mg
0.5000 0.5000 0.5000 Al
0.0000 0.0000 0.0000 Se

Record 8
MgAlSn2Se PBE-GGA optimized geometry; Fermi-level density of states = 2.91 states/eV/cell; SG = P4/mmm (123)
1.0
5.3689 0.0000 0.0000
0.0000 5.3689 0.0000
0.0000 0.0000 5.1243
Mg Al Sn Se
1 1 2 1
Direct
0.0000 0.0000 0.0000 Mg
0.0000 0.0000 0.5000 Al
0.0000 0.5000 0.0000 Sn
0.5000 0.0000 0.0000 Sn
0.5000 0.5000 0.5000 Se

Record 9
MgAlSnSe2 PBE-GGA optimized geometry; Fermi-level density of states = 4.22 states/eV/cell; SG = P4/mmm (123)
1.0
4.9832 0.0000 0.0000
0.0000 4.9832 0.0000
0.0000 0.0000 5.2981
Mg Al Sn Se
1 1 1 2
Direct
0.0000 0.0000 0.0000 Mg
0.5000 0.5000 0.5000 Al
0.5000 0.5000 0.0000 Sn
0.0000 0.5000 0.5000 Se
0.5000 0.0000 0.5000 Se

Record 10
MgAlSn2Se PBE-GGA optimized geometry; Fermi-level density of states = 4.58 states/eV/cell; SG = P4/mmm (123)
1.0
5.4766 0.0000 0.0000
0.0000 5.4766 0.0000
0.0000 0.0000 4.9633
Mg Al Sn Se
1 1 2 1
Direct
0.0000 0.0000 0.0000 Mg
0.5000 0.5000 0.5000 Al
0.0000 0.5000 0.0000 Sn
0.5000 0.0000 0.0000 Sn
0.0000 0.0000 0.5000 Se

Record 11
Sr2MgAlSe5 PBE-GGA optimized geometry; Fermi-level density of states = 11.42 states/eV/cell; SG = Cmc2_1 (36)
1.0
2.0289 -9.2421 0.0000
2.0289 9.2421 0.0000
0.0000 0.0000 12.6222
Sr Mg Al Se
4 2 2 10
Direct
0.1198 0.8802 0.5000 Sr
0.1233 0.8767 0.1309 Sr
0.8767 0.1233 0.6309 Sr
0.8802 0.1198 0.0000 Sr
0.2160 0.7840 0.8398 Mg
0.7840 0.2160 0.3398 Mg
0.4301 0.5699 0.2512 Al
0.5699 0.4301 0.7512 Al
0.0528 0.9472 0.8593 Se
0.2954 0.7046 0.4813 Se
0.3060 0.6940 0.1874 Se
0.3577 0.6423 0.8190 Se
0.4959 0.5041 0.0907 Se
0.5041 0.4959 0.5907 Se
0.6423 0.3577 0.3190 Se
0.6940 0.3060 0.6874 Se
0.7046 0.2954 0.9813 Se
0.9472 0.0528 0.3593 Se

Record 12
MgTi2AlSe PBE-GGA optimized geometry; Fermi-level density of states = 4.94 states/eV/cell; SG = P4/mmm (123)
1.0
4.7039 0.0000 0.0000
0.0000 4.7039 0.0000
0.0000 0.0000 4.7786
Mg Ti Al Se
1 2 1 1
Direct
0.0000 0.0000 0.0000 Mg
0.0000 0.5000 0.5000 Ti
0.5000 0.0000 0.5000 Ti
0.5000 0.5000 0.0000 Al
0.0000 0.0000 0.5000 Se

Record 13
MgAlTl2Se PBE-GGA optimized geometry; Fermi-level density of states = 1.94 states/eV/cell; SG = P4/mmm (123)
1.0
6.1233 0.0000 0.0000
0.0000 6.1233 0.0000
0.0000 0.0000 4.8443
Mg Al Tl Se
1 1 2 1
Direct
0.0000 0.0000 0.0000 Mg
0.5000 0.5000 0.0000 Al
0.0000 0.5000 0.5000 Tl
0.5000 0.0000 0.5000 Tl
0.5000 0.5000 0.5000 Se

Record 14
TmMgAlSe4 PBE-GGA optimized geometry; SG = Imma (74)
1.0
-3.9471 3.9525 5.6018
3.9471 -3.9525 5.6018
3.9471 3.9525 -5.6018
Tm Mg Al Se
2 2 2 8
Direct
0.5000 0.0000 0.0000 Tm
0.5000 0.5000 0.5000 Tm
0.0000 0.0000 0.0000 Mg
0.5000 0.0000 0.5000 Mg
0.1320 0.3820 0.7500 Al
0.8680 0.6180 0.2500 Al
0.2447 0.2481 0.9967 Se
0.2492 0.2397 0.4905 Se
0.2486 0.7519 0.4967 Se
0.2492 0.7587 0.0095 Se
0.7508 0.2413 0.9905 Se
0.7514 0.2481 0.5033 Se
0.7508 0.7603 0.5095 Se
0.7553 0.7519 0.0033 Se

Record 15
MgAlSi PBE-GGA optimized geometry; Fermi-level density of states = 3.32 states/eV/cell; SG = Fmm2 (42)
1.0
3.9240 0.0000 0.0000
0.0000 4.2678 0.0000
0.0000 0.0000 12.4608
Mg Al Si
4 4 4
Direct
0.0000 0.0000 0.0000 Mg
0.0000 0.5000 0.5000 Mg
0.5000 0.0000 0.5000 Mg
0.5000 0.5000 0.0000 Mg
0.0000 0.0000 0.3205 Al
0.0000 0.5000 0.8205 Al
0.5000 0.0000 0.8205 Al
0.5000 0.5000 0.3205 Al
0.0000 0.0000 0.6681 Si
0.0000 0.5000 0.1681 Si
0.5000 0.0000 0.1681 Si
0.5000 0.5000 0.6681 Si

Record 16
Mg6AlSi PBE-GGA optimized geometry; Fermi-level density of states = 6.03 states/eV/cell; SG = Amm2 (38)
1.0
4.8900 0.0000 0.0000
0.0000 6.1982 0.0000
0.0000 0.0000 10.8271
Mg Al Si
12 2 2
Direct
0.0000 0.0000 0.0000 Mg
0.0000 0.2423 0.2548 Mg
0.0000 0.2577 0.7548 Mg
0.0000 0.5000 0.5000 Mg
0.0000 0.7423 0.7548 Mg
0.0000 0.7577 0.2548 Mg
0.5000 0.0000 0.8307 Mg
0.5000 0.2450 0.5773 Mg
0.5000 0.2550 0.0773 Mg
0.5000 0.5000 0.3307 Mg
0.5000 0.7450 0.0773 Mg
0.5000 0.7550 0.5773 Mg
0.0000 0.0000 0.5072 Al
0.0000 0.5000 0.0072 Al
0.5000 0.0000 0.3259 Si
0.5000 0.5000 0.8259 Si

Record 17
MgAl2Si2 PBE-GGA optimized geometry; Fermi-level density of states = 3.64 states/eV/cell; SG = P4/mbm (127)
1.0
7.5520 0.0000 0.0000
0.0000 7.5520 0.0000
0.0000 0.0000 3.0073
Mg Al Si
2 4 4
Direct
0.0000 0.0000 0.0000 Mg
0.5000 0.5000 0.0000 Mg
0.1419 0.3581 0.5000 Al
0.3581 0.8581 0.5000 Al
0.6419 0.1419 0.5000 Al
0.8581 0.6419 0.5000 Al
0.1517 0.6517 0.0000 Si
0.3483 0.1517 0.0000 Si
0.6517 0.8483 0.0000 Si
0.8483 0.3483 0.0000 Si

Record 18
MgAlSi2 PBE-GGA optimized geometry; Fermi-level density of states = 6.58 states/eV/cell; SG = F-43m (216)
1.0
6.4604 0.0000 0.0000
0.0000 6.4604 0.0000
0.0000 0.0000 6.4604
Mg Al Si
4 4 8
Direct
0.0000 0.0000 0.0000 Mg
0.0000 0.5000 0.5000 Mg
0.5000 0.0000 0.5000 Mg
0.5000 0.5000 0.0000 Mg
0.2500 0.2500 0.7500 Al
0.2500 0.7500 0.2500 Al
0.7500 0.2500 0.2500 Al
0.7500 0.7500 0.7500 Al
0.0000 0.0000 0.5000 Si
0.0000 0.5000 0.0000 Si
0.2500 0.2500 0.2500 Si
0.2500 0.7500 0.7500 Si
0.5000 0.0000 0.0000 Si
0.5000 0.5000 0.5000 Si
0.7500 0.2500 0.7500 Si
0.7500 0.7500 0.2500 Si

Record 19
MgAlSi PBE-GGA optimized geometry; Fermi-level density of states = 1.36 states/eV/cell; SG = P-6m2 (187)
1.0
4.6627 0.0000 0.0000
-2.3313 4.0380 0.0000
0.0000 0.0000 2.7656
Mg Al Si
1 1 1
Direct
0.0000 0.0000 0.0000 Mg
0.3333 0.6667 0.5000 Al
0.6667 0.3333 0.5000 Si

Record 20
MgAlSi2 PBE-GGA optimized geometry; Fermi-level density of states = 1.76 states/eV/cell; SG = P4mm (99)
1.0
2.8911 0.0000 0.0000
0.0000 2.8911 0.0000
0.0000 0.0000 7.9570
Mg Al Si
1 1 2
Direct
0.0000 0.0000 0.0000 Mg
0.5000 0.5000 0.7236 Al
0.0000 0.0000 0.4854 Si
0.5000 0.5000 0.2580 Si

Record 21
MgAl3Si PBE-GGA optimized geometry; Fermi-level density of states = 4.15 states/eV/cell; SG = Pm-3m (221)
1.0
5.0033 0.0000 0.0000
0.0000 5.0033 0.0000
0.0000 0.0000 5.0033
Mg Al Si
1 3 1
Direct
0.0000 0.0000 0.0000 Mg
0.0000 0.0000 0.5000 Al
0.0000 0.5000 0.0000 Al
0.5000 0.0000 0.0000 Al
0.5000 0.5000 0.5000 Si

Record 22
MgAlSi PBE-GGA optimized geometry; Fermi-level density of states = 1.67 states/eV/cell; SG = P6_3/mmc (194)
1.0
4.6322 0.0000 0.0000
-2.3161 4.0116 0.0000
0.0000 0.0000 5.5755
Mg Al Si
2 2 2
Direct
0.0000 0.0000 0.0000 Mg
0.0000 0.0000 0.5000 Mg
0.3333 0.6667 0.2500 Al
0.6667 0.3333 0.7500 Al
0.3333 0.6667 0.7500 Si
0.6667 0.3333 0.2500 Si

Record 23
Mg2Al3Si6 PBE-GGA optimized geometry; Fermi-level density of states = 2.49 states/eV/cell; SG = C2/m (12)
1.0
7.5105 -1.9151 0.0000
7.5105 1.9151 0.0000
-1.6253 0.0000 6.3035
Mg Al Si
2 3 6
Direct
0.1723 0.1723 0.4313 Mg
0.8277 0.8277 0.5687 Mg
0.0000 0.0000 0.5000 Al
0.0902 0.0902 0.9671 Al
0.9098 0.9098 0.0329 Al
0.2912 0.2912 0.8397 Si
0.3432 0.3432 0.2376 Si
0.4705 0.4705 0.7795 Si
0.5295 0.5295 0.2205 Si
0.6568 0.6568 0.7624 Si
0.7088 0.7088 0.1603 Si

Record 24
Mg14AlSi PBE-GGA optimized geometry; Fermi-level density of states = 7.45 states/eV/cell; SG = Amm2 (38)
1.0
10.0604 0.0000 0.0000
0.0000 3.1750 5.4467
0.0000 -3.1750 5.4467
Mg Al Si
14 1 1
Direct
0.0000 0.0000 0.0000 Mg
0.0000 0.4965 0.9976 Mg
0.0000 0.4994 0.4994 Mg
0.0000 0.9976 0.4965 Mg
0.2526 0.8325 0.8325 Mg
0.2556 0.3326 0.3326 Mg
0.2657 0.3310 0.8270 Mg
0.2657 0.8270 0.3310 Mg
0.5000 0.0041 0.5056 Mg
0.5000 0.5056 0.0041 Mg
0.7343 0.3310 0.8270 Mg
0.7343 0.8270 0.3310 Mg
0.7444 0.3326 0.3326 Mg
0.7474 0.8325 0.8325 Mg
0.5000 0.9966 0.9966 Al
0.5000 0.4939 0.4939 Si

Record 25
Mg17Al11Si PBE-GGA optimized geometry; Fermi-level density of states = 6.37 states/eV/cell; SG = Cm (8)
1.0
5.2559 -7.4473 0.0000
5.2559 7.4473 0.0000
-5.2211 0.0000 7.4142
Mg Al Si
17 11 1
Direct
0.0000 0.0000 0.0000 Mg
0.9998 0.9998 0.3435 Mg
0.0009 0.3468 0.0004 Mg
0.0015 0.3159 0.6036 Mg
0.0019 0.6046 0.3183 Mg
0.2872 0.6842 0.6839 Mg
0.3159 0.0015 0.6036 Mg
0.3179 0.6054 0.0025 Mg
0.3468 0.0009 0.0004 Mg
0.3955 0.3955 0.7158 Mg
0.3969 0.7127 0.3968 Mg
0.6046 0.0019 0.3183 Mg
0.6054 0.3179 0.0025 Mg
0.6564 0.6564 0.6565 Mg
0.6842 0.2872 0.6839 Mg
0.6853 0.6853 0.2871 Mg
0.7127 0.3969 0.3968 Mg
0.0019 0.6348 0.8162 Al
0.0044 0.8199 0.6372 Al
0.1816 0.3664 0.3643 Al
0.1860 0.8201 0.1871 Al
0.3626 0.3626 0.1694 Al
0.3664 0.1816 0.3643 Al
0.6344 0.8149 0.0005 Al
0.6348 0.0019 0.8162 Al
0.8149 0.6344 0.0005 Al
0.8199 0.0044 0.6372 Al
0.8201 0.1860 0.1871 Al
0.1829 0.1829 0.8158 Si

Number 1: calculated total energy -3.90 eV per atom, size of the total moment 0.0000 μB per atom. Number 2: calculated total energy -3.65 eV per atom, size of the total moment 0.0000 μB per atom. Number 3: calculated total energy -3.83 eV per atom, size of the total moment 0.0000 μB per atom. Number 4: calculated total energy -3.00 eV per atom, size of the total moment 0.0000 μB per atom. Number 5: calculated total energy -3.70 eV per atom, size of the total moment 0.0000 μB per atom. Number 6: calculated total energy -3.61 eV per atom, size of the total moment 0.0000 μB per atom. Number 7: calculated total energy -2.31 eV per atom, size of the total moment 0.0000 μB per atom. Number 8: calculated total energy -2.83 eV per atom, size of the total moment 0.0000 μB per atom. Number 9: calculated total energy -3.18 eV per atom, size of the total moment 0.0000 μB per atom. Number 10: calculated total energy -2.92 eV per atom, size of the total moment 0.0000 μB per atom. Number 11: calculated total energy -4.26 eV per atom, size of the total moment 0.0000 μB per atom. Number 12: calculated total energy -4.82 eV per atom, size of the total moment 0.0000 μB per atom. Number 13: calculated total energy -2.44 eV per atom, size of the total moment 0.0000 μB per atom. Number 14: calculated total energy -4.67 eV per atom, size of the total moment 0.0000 μB per atom. Number 15: calculated total energy -3.46 eV per atom, size of the total moment 0.0000 μB per atom. Number 16: calculated total energy -2.28 eV per atom, size of the total moment 0.0000 μB per atom. Number 17: calculated total energy -3.86 eV per atom, size of the total moment 0.0000 μB per atom. Number 18: calculated total energy -3.75 eV per atom, size of the total moment 0.0000 μB per atom. Number 19: calculated total energy -3.52 eV per atom, size of the total moment 0.0000 μB per atom. Number 20: calculated total energy -3.81 eV per atom, size of the total moment 0.0000 μB per atom. Number 21: calculated total energy -2.50 eV per atom, size of the total moment 0.0000 μB per atom. Number 22: calculated total energy -3.55 eV per atom, size of the total moment 0.0000 μB per atom. Number 23: calculated total energy -4.08 eV per atom, size of the total moment 0.0000 μB per atom. Number 24: calculated total energy -1.94 eV per atom, size of the total moment 0.0000 μB per atom. Number 25: calculated total energy -2.57 eV per atom, size of the total moment 0.0000 μB per atom.